# NaBi7Pb12

A relaxed structure of NaBi7Pb12 (PBE-GGA, Alexandria).

Calculated values
- total magnetization (Bohr magnetons per cell) = 0.00
- space-group type = No. 148
- VASP energy (eV per atom) = -3.60
- N(E_F) (states/eV/f.u.) = 11.022
- V (Å³/atom) = 33.2

Lattice parameters (Å, degrees): 8.7315 8.7315 8.7315 87.31 87.31 87.31
Last column: nearest neighbours and their distance in Å.
Fractional positions:
Na (0.0000, 0.0000, 0.0000)  6 Bi 3.43, 6 Pb 3.47
Bi (0.0447, 0.1287, 0.3595)  3 Pb 3.28-3.42, 3 Bi 3.34-3.40, 1 Na 3.43
Bi (0.1287, 0.3595, 0.0447)  3 Pb 3.28-3.42, 3 Bi 3.34-3.40, 1 Na 3.43
Bi (0.3595, 0.0447, 0.1287)  3 Pb 3.28-3.42, 3 Bi 3.34-3.40, 1 Na 3.43
Bi (0.5000, 0.5000, 0.5000)  6 Pb 3.28
Bi (0.6405, 0.9553, 0.8713)  3 Pb 3.28-3.42, 3 Bi 3.34-3.40, 1 Na 3.43
Bi (0.8713, 0.6405, 0.9553)  3 Pb 3.28-3.42, 3 Bi 3.34-3.40, 1 Na 3.43
Bi (0.9553, 0.8713, 0.6405)  3 Pb 3.28-3.42, 3 Bi 3.34-3.40, 1 Na 3.43
Pb (0.1357, 0.6885, 0.2239)  2 Bi 3.34-3.42, 6 Pb 3.37-3.63, 1 Na 3.47
Pb (0.1381, 0.5352, 0.6171)  2 Bi 3.28, 5 Pb 3.33-3.63
Pb (0.2239, 0.1357, 0.6885)  2 Bi 3.34-3.42, 6 Pb 3.37-3.63, 1 Na 3.47
Pb (0.3115, 0.7761, 0.8643)  2 Bi 3.34-3.42, 6 Pb 3.37-3.63, 1 Na 3.47
Pb (0.3829, 0.8619, 0.4648)  2 Bi 3.28, 5 Pb 3.33-3.63
Pb (0.4648, 0.3829, 0.8619)  2 Bi 3.28, 5 Pb 3.33-3.63
Pb (0.5352, 0.6171, 0.1381)  2 Bi 3.28, 5 Pb 3.33-3.63
Pb (0.6171, 0.1381, 0.5352)  2 Bi 3.28, 5 Pb 3.33-3.63
Pb (0.6885, 0.2239, 0.1357)  2 Bi 3.34-3.42, 6 Pb 3.37-3.63, 1 Na 3.47
Pb (0.7760, 0.8643, 0.3115)  2 Bi 3.34-3.42, 6 Pb 3.37-3.63, 1 Na 3.47
Pb (0.8619, 0.4648, 0.3829)  2 Bi 3.28, 5 Pb 3.33-3.63
Pb (0.8643, 0.3115, 0.7760)  2 Bi 3.34-3.42, 6 Pb 3.37-3.63, 1 Na 3.47